No. 1
# MgSb3Pd, optimized geometry, DFT GGA-PBE
# Raw formation energy   0.2763 eV/atom
# Electronic total energy   -17.773 eV for the cell shown
# Distance to the lowest polymorph of the same formula   0 meV per atom
data_MgSb3Pd
_cell_length_a 5.269
_cell_length_b 5.269
_cell_length_c 5.269
_cell_angle_alpha 90.00
_cell_angle_beta 90.00
_cell_angle_gamma 90.00
_symmetry_space_group_name_H-M 'P m -3 m'
_symmetry_Int_Tables_number 221
_symmetry_space_group_name_Hall '-P 4 2 3'
loop_
_atom_site_label
_atom_site_fract_x
_atom_site_fract_y
_atom_site_fract_z
Mg1 0.000 0.000 0.000
Sb1 0.000 0.500 0.500
Pd1 0.500 0.500 0.500

No. 2
# TbSm8Ho6, optimized geometry, DFT GGA-PBE
# Energy of formation   127 meV per atom
# Electronic total energy   -203.837 eV for the cell shown
data_TbSm8Ho6
_cell_length_a 9.0764
_cell_length_b 9.0764
_cell_length_c 20.7653
_cell_angle_alpha 90.00
_cell_angle_beta 90.00
_cell_angle_gamma 120.00
_symmetry_space_group_name_H-M 'R -3'
_symmetry_Int_Tables_number 148
_symmetry_space_group_name_Hall '-R 3'
loop_
_atom_site_label
_atom_site_fract_x
_atom_site_fract_y
_atom_site_fract_z
Tb1 0.0000 0.0000 0.0000
Sm1 0.0000 0.0000 0.4226
Sm2 0.0812 0.5559 0.8070
Ho1 0.0505 0.2450 0.7060

For the records above, the corresponding theoretical density values read 5.6; 7.9 g/cm³.
For the records above, the corresponding M_tot values read 0.0; 0.0 μB/f.u..